A plane-wave DFT calculation with GGA+U was carried out for an optimized crystal structure of MnNi2F.

The structure in CIF format:
```
data_MnNi2F
_chemical_formula_sum 'Mn2 Ni4 F2'
_space_group_name_H-M_alt 'P 1'
_space_group_IT_number 1
_space_group_name_Hall 'P 1'
_cell_length_a 5.4087
_cell_length_b 5.4087
_cell_length_c 5.4087
_cell_angle_alpha 101.39
_cell_angle_beta 101.39
_cell_angle_gamma 127.23
loop_
_atom_site_label
_atom_site_type_symbol
_atom_site_fract_x
_atom_site_fract_y
_atom_site_fract_z
Mn1 Mn 0.0000 0.0000 0.0000
Mn2 Mn 0.7500 0.2500 0.5000
Ni1 Ni 0.1806 0.6250 0.0556
Ni2 Ni 0.3750 0.4306 0.5556
Ni3 Ni 0.5694 0.1250 0.9444
Ni4 Ni 0.8750 0.8194 0.4444
F1 F 0.2500 0.7500 0.5000
F2 F 0.5000 0.5000 0.0000
```

Computed properties:
For the total moment, the calculation gives 6.774 μB/f.u. The energy above the most stable polymorph in this dataset is 0.000 eV/atom.